Material: Nd5CoSb2
Method: DFT, PBE
State: relaxed

Output
* magnetic moment: 0.00 μB per formula unit
* excess energy over the best structure of this formula in the dataset: 0.000 eV/atom
* ΔE_f (raw): -0.6922 eV/atom

a = 8.2334 Å, b = 9.1230 Å, c = 12.5092 Å
α = 90.00°, β = 90.00°, γ = 90.00°
Last column: nearest neighbours and their distance in Å.
Sites, in units of the cell vectors:
Nd: 0.9995 0.2500 0.4999  4 Sb 3.23, 4 Nd 3.52
Nd: 0.0005 0.7500 0.5001  4 Sb 3.23, 4 Nd 3.52
Nd: 0.4995 0.7500 0.0001  4 Sb 3.23, 4 Nd 3.52
Nd: 0.5005 0.2500 0.9999  4 Sb 3.23, 4 Nd 3.52
Nd: 0.3130 0.0004 0.5607  2 Co 2.85-2.86
Nd: 0.6870 0.9996 0.4393  2 Co 2.85-2.86
Nd: 0.8130 0.9996 0.9393  2 Co 2.85-2.86
Nd: 0.6870 0.5004 0.4393  2 Co 2.85-2.86
Nd: 0.1870 0.0004 0.0607  2 Co 2.85-2.86
Nd: 0.3130 0.4996 0.5607  2 Co 2.85-2.86
Nd: 0.1870 0.4996 0.0607  2 Co 2.85-2.86
Nd: 0.8130 0.5004 0.9393  2 Co 2.85-2.86
Nd: 0.1314 0.2500 0.8045  1 Co 2.67
Nd: 0.8686 0.7500 0.1955  1 Co 2.67
Nd: 0.6314 0.7500 0.6955  1 Co 2.67
Nd: 0.3686 0.2500 0.3045  1 Co 2.67
Nd: 0.6316 0.2500 0.6955  1 Co 2.67
Nd: 0.3684 0.7500 0.3045  1 Co 2.67
Nd: 0.1316 0.7500 0.8045  1 Co 2.67
Nd: 0.8684 0.2500 0.1955  1 Co 2.67
Co: 0.5007 0.2500 0.4999  6 Nd 2.67-2.86
Co: 0.4993 0.7500 0.5001  6 Nd 2.67-2.86
Co: 0.0007 0.7500 0.0001  6 Nd 2.67-2.86
Co: 0.9993 0.2500 0.9999  6 Nd 2.67-2.86
Sb: 0.4203 0.5000 0.8252  9 Nd 3.23-3.53
Sb: 0.5797 0.5000 0.1748  9 Nd 3.23-3.53
Sb: 0.9203 0.5000 0.6748  9 Nd 3.23-3.53
Sb: 0.5797 0.0000 0.1748  9 Nd 3.23-3.53
Sb: 0.0797 0.5000 0.3252  9 Nd 3.23-3.53
Sb: 0.4203 0.0000 0.8252  9 Nd 3.23-3.53
Sb: 0.0797 0.0000 0.3252  9 Nd 3.23-3.53
Sb: 0.9203 0.0000 0.6748  9 Nd 3.23-3.53